Record 1
Computed, not measured: a relaxed structure of Ac2Zn4GaSn3 at the PBE level of DFT.

Lattice parameters (Å, degrees): 4.691 4.691 10.948 90.00 90.00 90.00
Fractional coordinates of all 10 atoms:
Ac 0.000 0.500 0.246
Ac 0.500 0.000 0.754
Zn 0.000 0.000 0.500
Zn 0.000 0.500 0.876
Zn 0.500 0.000 0.124
Zn 0.500 0.500 0.500
Ga 0.500 0.500 0.000
Sn 0.000 0.000 0.000
Sn 0.000 0.500 0.634
Sn 0.500 0.000 0.366

Computed properties:
* ΔH_f (0 K): -0.411 eV/atom
* energy: -32.46 eV per formula unit
* DOS at the Fermi energy: 2.0 states/eV per cell

Record 2
Computed, not measured: a relaxed structure of Cs2PrP2S6 at the PBE level of DFT.

Lattice parameters (Å, degrees): 7.215 7.215 8.293 115.02 115.02 59.69
Fractional coordinates of all 11 atoms:
Cs 0.220 0.220 0.199
Cs 0.780 0.780 0.801
Pr 0.000 0.000 0.500
P 0.447 0.447 0.823
P 0.553 0.553 0.177
S 0.238 0.711 0.219
S 0.255 0.255 0.654
S 0.289 0.762 0.781
S 0.711 0.238 0.219
S 0.745 0.745 0.346
S 0.762 0.289 0.781

Computed properties:
* energy: -51.99 eV per formula unit
* DOS at the Fermi energy: 2.7 states/eV per cell

Record 3
Computed, not measured: a relaxed structure of TaPtSeN2 at the PBE level of DFT.

Lattice parameters (Å, degrees): 3.929 3.929 5.576 90.00 90.00 90.00
Fractional coordinates of all 5 atoms:
Ta 0.000 0.000 0.000
Pt 0.500 0.500 0.500
Se 0.000 0.000 0.500
N 0.000 0.500 0.000
N 0.500 0.000 0.000

Computed properties:
* energy: -35.49 eV per formula unit
* DOS at the Fermi energy: 4.2 states/eV per cell